# 1
The following is a PBE calculation of a relaxed LaTlCd2 crystal, from Alexandria.

As for the raw total energy: -2.35 eV per atom. The formation energy from the elements comes out at -68 meV/atom. As for the magnetization: 0.00 μB per formula unit. Its density of states at the Fermi level is 19.0 states/eV/cell.

The structure belongs to space group I-42d (No. 122); the cell edges are 4.6735, 4.6735 and 22.2771 Å and the angles 90.00°, 90.00° and 90.00°. Symmetry generates all atoms from La at (0.0000, 0.0000, 0.0000), Tl at (0.0000, 0.0000, 0.5000) and Cd at (0.2096, 0.2500, 0.6250).


# 2
The following is a PBE calculation of a relaxed Sc2Cr2TcC4 crystal, from Alexandria.

As for the raw total energy: -8.88 eV per atom. The formation energy from the elements comes out at -83 meV/atom. As for the magnetization: 0.00 μB per formula unit. Its density of states at the Fermi level is 9.9 states/eV/cell.

The structure belongs to space group C2/m (No. 12); the cell edges are 11.8779, 3.1415 and 5.7400 Å and the angles 90.00°, 111.59° and 90.00°. Symmetry generates all atoms from Sc at (0.1327, 0.0000, 0.0264), Cr at (0.1729, 0.5000, 0.4883), Tc at (0.0000, 0.0000, 0.5000), C at (0.0128, 0.5000, 0.2395) and C at (0.2150, 0.0000, 0.7163).


# 3
The following is a PBE calculation of a relaxed La3Sc crystal, from Alexandria.

As for the raw total energy: -5.22 eV per atom. The formation energy from the elements comes out at 56 meV/atom. As for the magnetization: 0.00 μB per formula unit. Its density of states at the Fermi level is 13.7 states/eV/cell.

The structure belongs to space group P6_3/mmc (No. 194); the cell edges are 7.3346, 7.3346 and 5.8154 Å and the angles 90.00°, 90.00° and 120.00°. Symmetry generates all atoms from La at (0.1723, 0.3447, 0.2500) and Sc at (0.3333, 0.6667, 0.7500).


# 4
The following is a PBE calculation of a relaxed ZrOsBr2 crystal, from Alexandria.

As for the raw total energy: -5.30 eV per atom. The uncorrected formation energy is 479.7 meV per atom. As for the magnetization: 2.21 μB per formula unit. Its density of states at the Fermi level is 6.3 states/eV/cell.

The structure belongs to space group R-3m (No. 166, hexagonal axes); the cell edges are 3.1927, 3.1927 and 31.0466 Å and the angles 90.00°, 90.00° and 120.00°. Symmetry generates all atoms from Zr at (0.0000, 0.0000, 0.0000), Os at (0.0000, 0.0000, 0.5000) and Br at (0.0000, 0.0000, 0.2684).